Entry 1:
Density functional theory data (GGA-PBE) for an optimized crystal structure of Th2BeAs4.

abc: 4.069 4.069 9.194
angles: 90.00 90.00 90.00
Fractional coordinates of all 7 atoms:
Th1 0.000 0.500 0.248
Th2 0.500 0.000 0.752
Be1 0.500 0.500 0.000
As1 0.000 0.000 0.500
As2 0.000 0.500 0.870
As3 0.500 0.000 0.130
As4 0.500 0.500 0.500

Summary:
For the density of states at the Fermi level, the calculation gives 2.5 states/eV per cell. For the formation energy, the calculation gives -0.88 eV per atom.


Entry 2:
Density functional theory data (GGA-PBE) for an optimized crystal structure of TiBeAs3.

abc: 4.475 4.475 4.475
angles: 90.00 90.00 90.00
Fractional coordinates of all 5 atoms:
Ti1 0.000 0.000 0.000
Be1 0.500 0.500 0.500
As1 0.000 0.500 0.500
As2 0.500 0.000 0.500
As3 0.500 0.500 0.000

Summary:
For the density of states at the Fermi level, the calculation gives 5.6 states/eV per cell. For the formation energy, the calculation gives 0.45 eV per atom.


Entry 3:
Density functional theory data (GGA-PBE) for an optimized crystal structure of Ti2BeAs2.

abc: 6.693 6.693 3.465
angles: 90.00 90.00 90.00
Fractional coordinates of all 10 atoms:
Ti1 0.144 0.356 0.000
Ti2 0.356 0.856 0.000
Ti3 0.644 0.144 0.000
Ti4 0.856 0.644 0.000
Be1 0.000 0.000 0.500
Be2 0.500 0.500 0.500
As1 0.156 0.656 0.500
As2 0.344 0.156 0.500
As3 0.656 0.844 0.500
As4 0.844 0.344 0.500

Summary:
For the density of states at the Fermi level, the calculation gives 2.3 states/eV per cell. For the formation energy, the calculation gives -0.44 eV per atom.


Entry 4:
Density functional theory data (GGA-PBE) for an optimized crystal structure of Ti2BeAs.

abc: 4.970 3.486 7.011
angles: 90.00 110.66 90.00
Fractional coordinates of all 8 atoms:
Ti1 0.194 0.250 0.431
Ti2 0.208 0.250 0.920
Ti3 0.792 0.750 0.080
Ti4 0.806 0.750 0.569
Be1 0.341 0.750 0.711
Be2 0.659 0.250 0.289
As1 0.354 0.750 0.215
As2 0.646 0.250 0.785

Summary:
For the density of states at the Fermi level, the calculation gives 5.3 states/eV per cell. For the formation energy, the calculation gives -0.65 eV per atom.


Entry 5:
Density functional theory data (GGA-PBE) for an optimized crystal structure of TiBeAs3.

abc: 4.848 4.848 4.848
angles: 90.00 90.00 90.00
Fractional coordinates of all 5 atoms:
Ti1 0.000 0.000 0.000
Be1 0.500 0.500 0.500
As1 0.000 0.000 0.500
As2 0.000 0.500 0.000
As3 0.500 0.000 0.000

Summary:
For the density of states at the Fermi level, the calculation gives 3.5 states/eV per cell. For the formation energy, the calculation gives 0.59 eV per atom.


Entry 6:
Density functional theory data (GGA-PBE) for an optimized crystal structure of Ti2BeAs.

abc: 6.745 6.745 5.351
angles: 90.00 90.00 90.00
Fractional coordinates of all 16 atoms:
Ti1 0.243 0.250 0.125
Ti2 0.250 0.743 0.375
Ti3 0.250 0.757 0.875
Ti4 0.257 0.250 0.625
Ti5 0.743 0.750 0.625
Ti6 0.750 0.243 0.875
Ti7 0.750 0.257 0.375
Ti8 0.757 0.750 0.125
Be1 0.000 0.000 0.000
Be2 0.000 0.500 0.250
Be3 0.500 0.000 0.750
Be4 0.500 0.500 0.500
As1 0.000 0.000 0.500
As2 0.000 0.500 0.750
As3 0.500 0.000 0.250
As4 0.500 0.500 0.000

Summary:
For the density of states at the Fermi level, the calculation gives 10.7 states/eV per cell. For the formation energy, the calculation gives -0.16 eV per atom.


Entry 7:
Density functional theory data (GGA-PBE) for an optimized crystal structure of Ti6BeAs2.

abc: 5.617 5.617 10.819
angles: 90.00 90.00 90.00
Fractional coordinates of all 18 atoms:
Ti1 0.193 0.193 0.153
Ti2 0.193 0.193 0.847
Ti3 0.218 0.218 0.500
Ti4 0.282 0.718 0.000
Ti5 0.307 0.693 0.347
Ti6 0.307 0.693 0.653
Ti7 0.693 0.307 0.347
Ti8 0.693 0.307 0.653
Ti9 0.718 0.282 0.000
Ti10 0.782 0.782 0.500
Ti11 0.807 0.807 0.153
Ti12 0.807 0.807 0.847
Be1 0.000 0.000 0.000
Be2 0.500 0.500 0.500
As1 0.000 0.000 0.334
As2 0.000 0.000 0.666
As3 0.500 0.500 0.166
As4 0.500 0.500 0.834

Summary:
For the density of states at the Fermi level, the calculation gives 15.2 states/eV per cell. For the formation energy, the calculation gives -0.04 eV per atom.


Entry 8:
Density functional theory data (GGA-PBE) for an optimized crystal structure of Ti2BeAs.

abc: 6.142 6.142 6.142
angles: 90.00 90.00 90.00
Fractional coordinates of all 16 atoms:
Ti1 0.250 0.250 0.250
Ti2 0.250 0.250 0.750
Ti3 0.250 0.750 0.250
Ti4 0.250 0.750 0.750
Ti5 0.750 0.250 0.250
Ti6 0.750 0.250 0.750
Ti7 0.750 0.750 0.250
Ti8 0.750 0.750 0.750
Be1 0.000 0.000 0.000
Be2 0.000 0.500 0.500
Be3 0.500 0.000 0.500
Be4 0.500 0.500 0.000
As1 0.000 0.000 0.500
As2 0.000 0.500 0.000
As3 0.500 0.000 0.000
As4 0.500 0.500 0.500

Summary:
For the density of states at the Fermi level, the calculation gives 19.9 states/eV per cell. For the formation energy, the calculation gives -0.18 eV per atom.


Entry 9:
Density functional theory data (GGA-PBE) for an optimized crystal structure of TiBeAs2.

abc: 5.587 5.587 10.786
angles: 90.00 90.00 90.00
Fractional coordinates of all 16 atoms:
Ti1 0.000 0.000 0.000
Ti2 0.000 0.500 0.250
Ti3 0.500 0.000 0.750
Ti4 0.500 0.500 0.500
Be1 0.000 0.000 0.500
Be2 0.000 0.500 0.750
Be3 0.500 0.000 0.250
Be4 0.500 0.500 0.000
As1 0.220 0.250 0.625
As2 0.250 0.720 0.875
As3 0.250 0.780 0.375
As4 0.280 0.250 0.125
As5 0.720 0.750 0.125
As6 0.750 0.220 0.375
As7 0.750 0.280 0.875
As8 0.780 0.750 0.625

Summary:
For the density of states at the Fermi level, the calculation gives 0.0 states/eV per cell. For the formation energy, the calculation gives -0.19 eV per atom.


Entry 10:
Density functional theory data (GGA-PBE) for an optimized crystal structure of TiBeAs2.

abc: 3.679 3.679 21.495
angles: 90.00 90.00 120.00
Fractional coordinates of all 12 atoms:
Ti1 0.000 0.000 0.000
Ti2 0.333 0.667 0.667
Ti3 0.667 0.333 0.333
Be1 0.000 0.000 0.500
Be2 0.333 0.667 0.167
Be3 0.667 0.333 0.833
As1 0.000 0.000 0.403
As2 0.000 0.000 0.597
As3 0.333 0.667 0.070
As4 0.333 0.667 0.264
As5 0.667 0.333 0.736
As6 0.667 0.333 0.930

Summary:
For the density of states at the Fermi level, the calculation gives 3.1 states/eV per cell. For the formation energy, the calculation gives -0.09 eV per atom.


Entry 11:
Density functional theory data (GGA-PBE) for an optimized crystal structure of BeTlAs4.

abc: 5.678 5.678 5.678
angles: 60.00 60.00 60.00
Fractional coordinates of all 6 atoms:
Be1 0.000 0.000 0.000
Tl1 0.750 0.750 0.750
As1 0.372 0.372 0.372
As2 0.372 0.372 0.884
As3 0.372 0.884 0.372
As4 0.884 0.372 0.372

Summary:
For the density of states at the Fermi level, the calculation gives 1.1 states/eV per cell. For the formation energy, the calculation gives 0.59 eV per atom.


Entry 12:
Density functional theory data (GGA-PBE) for an optimized crystal structure of BeTl2As.

abc: 5.274 3.818 5.488
angles: 90.00 117.01 90.00
Fractional coordinates of all 4 atoms:
Be1 0.000 0.000 0.000
Tl1 0.524 0.500 0.783
Tl2 0.823 0.000 0.419
As1 0.219 0.500 0.141

Summary:
For the density of states at the Fermi level, the calculation gives 1.6 states/eV per cell. For the formation energy, the calculation gives 0.14 eV per atom.


Entry 13:
Density functional theory data (GGA-PBE) for an optimized crystal structure of BeTl2As.

abc: 4.371 3.788 5.880
angles: 90.00 110.82 90.00
Fractional coordinates of all 4 atoms:
Be1 0.000 0.000 0.000
Tl1 0.196 0.500 0.767
Tl2 0.804 0.500 0.233
As1 0.500 0.000 0.500

Summary:
For the density of states at the Fermi level, the calculation gives 1.2 states/eV per cell. For the formation energy, the calculation gives 0.52 eV per atom.


Entry 14:
Density functional theory data (GGA-PBE) for an optimized crystal structure of BeTl2As.

abc: 6.574 3.802 8.487
angles: 90.00 108.80 90.00
Fractional coordinates of all 8 atoms:
Be1 0.000 0.000 0.000
Be2 0.500 0.500 0.000
Tl1 0.051 0.500 0.686
Tl2 0.250 0.500 0.322
Tl3 0.551 0.000 0.686
Tl4 0.750 0.000 0.322
As1 0.333 0.000 0.998
As2 0.833 0.500 0.998

Summary:
For the density of states at the Fermi level, the calculation gives 2.1 states/eV per cell. For the formation energy, the calculation gives -0.03 eV per atom.


Entry 15:
Density functional theory data (GGA-PBE) for an optimized crystal structure of BeTl2As.

abc: 3.771 4.334 13.365
angles: 90.00 90.00 90.00
Fractional coordinates of all 8 atoms:
Be1 0.000 0.000 0.000
Be2 0.500 0.500 0.500
Tl1 0.000 0.000 0.403
Tl2 0.000 0.500 0.191
Tl3 0.500 0.000 0.691
Tl4 0.500 0.500 0.903
As1 0.000 0.500 0.576
As2 0.500 0.000 0.076

Summary:
For the density of states at the Fermi level, the calculation gives 1.5 states/eV per cell. For the formation energy, the calculation gives 0.16 eV per atom.


Entry 16:
Density functional theory data (GGA-PBE) for an optimized crystal structure of BeTl2As.

abc: 6.187 7.833 3.801
angles: 90.00 90.15 90.00
Fractional coordinates of all 8 atoms:
Be1 0.000 0.000 0.000
Be2 0.500 0.500 0.000
Tl1 0.250 0.250 0.500
Tl2 0.250 0.750 0.500
Tl3 0.750 0.250 0.500
Tl4 0.750 0.750 0.500
As1 0.000 0.500 0.000
As2 0.500 0.000 0.000

Summary:
For the density of states at the Fermi level, the calculation gives 3.9 states/eV per cell. For the formation energy, the calculation gives 0.63 eV per atom.


Entry 17:
Density functional theory data (GGA-PBE) for an optimized crystal structure of BeTl2As.

abc: 4.089 4.267 5.283
angles: 90.00 90.00 90.00
Fractional coordinates of all 4 atoms:
Be1 0.000 0.000 0.000
Tl1 0.500 0.000 0.500
Tl2 0.500 0.500 0.000
As1 0.000 0.500 0.500

Summary:
For the density of states at the Fermi level, the calculation gives 2.8 states/eV per cell. For the formation energy, the calculation gives 0.62 eV per atom.


Entry 18:
Density functional theory data (GGA-PBE) for an optimized crystal structure of Be4TlAs.

abc: 4.854 4.854 4.854
angles: 60.00 60.00 60.00
Fractional coordinates of all 6 atoms:
Be1 0.377 0.377 0.377
Be2 0.377 0.377 0.869
Be3 0.377 0.869 0.377
Be4 0.869 0.377 0.377
Tl1 0.000 0.000 0.000
As1 0.750 0.750 0.750

Summary:
For the density of states at the Fermi level, the calculation gives 1.8 states/eV per cell. For the formation energy, the calculation gives 0.59 eV per atom.


Entry 19:
Density functional theory data (GGA-PBE) for an optimized crystal structure of BeTl2As.

abc: 8.564 3.777 7.026
angles: 90.00 112.87 90.00
Fractional coordinates of all 8 atoms:
Be1 0.000 0.000 0.000
Be2 0.500 0.500 0.000
Tl1 0.120 0.500 0.567
Tl2 0.275 0.500 0.195
Tl3 0.620 0.000 0.567
Tl4 0.775 0.000 0.195
As1 0.424 0.000 0.844
As2 0.924 0.500 0.844

Summary:
For the density of states at the Fermi level, the calculation gives 0.9 states/eV per cell. For the formation energy, the calculation gives 0.16 eV per atom.


Entry 20:
Density functional theory data (GGA-PBE) for an optimized crystal structure of BeTlAs.

abc: 3.803 3.803 9.385
angles: 90.00 90.00 90.00
Fractional coordinates of all 6 atoms:
Be1 0.250 0.750 0.000
Be2 0.750 0.250 0.000
Tl1 0.250 0.250 0.329
Tl2 0.750 0.750 0.671
As1 0.250 0.250 0.855
As2 0.750 0.750 0.145

Summary:
For the density of states at the Fermi level, the calculation gives 1.8 states/eV per cell. For the formation energy, the calculation gives -0.07 eV per atom.


Entry 21:
Density functional theory data (GGA-PBE) for an optimized crystal structure of BeTlAs.

abc: 6.263 6.263 6.263
angles: 90.00 90.00 90.00
Fractional coordinates of all 12 atoms:
Be1 0.000 0.000 0.000
Be2 0.000 0.500 0.500
Be3 0.500 0.000 0.500
Be4 0.500 0.500 0.000
Tl1 0.250 0.250 0.250
Tl2 0.250 0.750 0.750
Tl3 0.750 0.250 0.750
Tl4 0.750 0.750 0.250
As1 0.250 0.250 0.750
As2 0.250 0.750 0.250
As3 0.750 0.250 0.250
As4 0.750 0.750 0.750

Summary:
For the formation energy, the calculation gives 0.35 eV per atom.


Entry 22:
Density functional theory data (GGA-PBE) for an optimized crystal structure of Be8TlAs6.

abc: 6.443 6.443 6.443
angles: 98.85 98.85 98.85
Fractional coordinates of all 15 atoms:
Be1 0.025 0.891 0.316
Be2 0.109 0.684 0.975
Be3 0.200 0.200 0.200
Be4 0.316 0.025 0.891
Be5 0.684 0.975 0.109
Be6 0.800 0.800 0.800
Be7 0.891 0.316 0.025
Be8 0.975 0.109 0.684
Tl1 0.500 0.500 0.500
As1 0.077 0.777 0.636
As2 0.223 0.364 0.923
As3 0.364 0.923 0.223
As4 0.636 0.077 0.777
As5 0.777 0.636 0.077
As6 0.923 0.223 0.364

Summary:
For the density of states at the Fermi level, the calculation gives 5.3 states/eV per cell. For the formation energy, the calculation gives -0.03 eV per atom.


Entry 23:
Density functional theory data (GGA-PBE) for an optimized crystal structure of BeTl2As.

abc: 4.190 5.247 8.110
angles: 90.00 90.00 90.00
Fractional coordinates of all 8 atoms:
Be1 0.000 0.000 0.000
Be2 0.500 0.500 0.000
Tl1 0.000 0.500 0.222
Tl2 0.000 0.500 0.778
Tl3 0.500 0.000 0.222
Tl4 0.500 0.000 0.778
As1 0.000 0.000 0.500
As2 0.500 0.500 0.500

Summary:
For the density of states at the Fermi level, the calculation gives 2.6 states/eV per cell. For the formation energy, the calculation gives 0.58 eV per atom.


Entry 24:
Density functional theory data (GGA-PBE) for an optimized crystal structure of Be3TlAs2.

abc: 3.525 7.392 8.756
angles: 73.08 89.86 76.46
Fractional coordinates of all 12 atoms:
Be1 0.050 0.399 0.423
Be2 0.322 0.858 0.546
Be3 0.431 0.640 0.396
Be4 0.569 0.360 0.604
Be5 0.678 0.142 0.454
Be6 0.950 0.601 0.577
Tl1 0.136 0.225 0.021
Tl2 0.864 0.775 0.979
As1 0.190 0.117 0.647
As2 0.466 0.565 0.754
As3 0.534 0.435 0.246
As4 0.810 0.883 0.353

Summary:
For the density of states at the Fermi level, the calculation gives 2.7 states/eV per cell. For the formation energy, the calculation gives -0.01 eV per atom.


Entry 25:
Density functional theory data (GGA-PBE) for an optimized crystal structure of BeTlAs.

abc: 3.849 3.849 5.190
angles: 90.00 90.00 120.00
Fractional coordinates of all 3 atoms:
Be1 0.000 0.000 0.000
Tl1 0.667 0.333 0.500
As1 0.333 0.667 0.000

Summary:
For the density of states at the Fermi level, the calculation gives 0.5 states/eV per cell. For the formation energy, the calculation gives -0.05 eV per atom.


Entry 26:
Density functional theory data (GGA-PBE) for an optimized crystal structure of BeTl2As.

abc: 3.903 5.594 8.779
angles: 90.00 90.00 90.00
Fractional coordinates of all 8 atoms:
Be1 0.000 0.000 0.000
Be2 0.500 0.500 0.000
Tl1 0.000 0.000 0.416
Tl2 0.000 0.500 0.752
Tl3 0.500 0.000 0.752
Tl4 0.500 0.500 0.416
As1 0.000 0.500 0.111
As2 0.500 0.000 0.111

Summary:
For the density of states at the Fermi level, the calculation gives 3.1 states/eV per cell. For the formation energy, the calculation gives 0.22 eV per atom.


Entry 27:
Density functional theory data (GGA-PBE) for an optimized crystal structure of BeTl2As.

abc: 4.154 4.154 18.293
angles: 90.00 90.00 120.00
Fractional coordinates of all 12 atoms:
Be1 0.000 0.000 0.000
Be2 0.333 0.667 0.667
Be3 0.667 0.333 0.333
Tl1 0.000 0.000 0.259
Tl2 0.000 0.000 0.741
Tl3 0.333 0.667 0.408
Tl4 0.333 0.667 0.925
Tl5 0.667 0.333 0.075
Tl6 0.667 0.333 0.592
As1 0.000 0.000 0.500
As2 0.333 0.667 0.167
As3 0.667 0.333 0.833

Summary:
For the density of states at the Fermi level, the calculation gives 4.3 states/eV per cell. For the formation energy, the calculation gives 0.52 eV per atom.